Record 1
YP2PtRh2 | the Alexandria database | PBE | relaxed; calculated total energy = -7.093 eV/atom; SG = No. 58
1.0
4.090 0.000 0.000
0.000 6.256 0.000
0.000 0.000 8.327
Y P Pt Rh
2 4 2 4
Direct
0.500 0.500 0.000
0.000 0.000 0.500
0.500 0.767 0.302
0.500 0.233 0.698
0.000 0.733 0.802
0.000 0.267 0.198
0.000 0.000 0.000
0.500 0.500 0.500
0.500 0.113 0.230
0.000 0.613 0.270
0.500 0.887 0.770
0.000 0.387 0.730

Record 2
Pm2Si3HgPt4 | the Alexandria database | PBE | relaxed; uncorrected formation energy = -904 meV/atom; SG = No. 115
1.0
-3.721 -2.085 0.321
1.974 -3.671 -0.960
1.811 -1.672 10.118
Pm Si Hg Pt
2 3 1 4
Direct
0.500 0.000 0.247
0.000 0.500 0.753
0.000 0.000 0.500
0.500 0.000 0.879
0.000 0.500 0.121
0.500 0.500 0.500
0.500 0.500 0.000
0.000 0.000 0.000
0.500 0.000 0.656
0.000 0.500 0.344

Record 3
Tb3MgC | the Alexandria database | PBE | relaxed; calculated total energy = -5.105 eV/atom; SG = No. 221
1.0
-0.010 -4.557 2.068
4.988 0.157 0.372
-0.404 2.062 4.542
Mg Tb C
1 3 1
Direct
0.500 0.500 0.500
0.000 0.500 0.000
0.000 0.000 0.500
0.500 0.000 0.000
0.000 0.000 0.000

Record 4
Ac2SmGa | the Alexandria database | PBE | relaxed; distance to the lowest polymorph of the same formula = 410.5 meV/atom; SG = No. 166
1.0
-0.313 2.950 2.387
-3.357 1.741 0.444
-4.069 -6.313 10.304
Ac Ga Sm
2 1 1
Direct
0.086 0.086 0.741
0.914 0.914 0.259
0.000 0.000 0.000
0.500 0.500 0.500

Record 5
K2LiGeSe4 | the Alexandria database | PBE | relaxed; uncorrected formation energy = -782 meV/atom; SG = No. 121
1.0
-0.177 5.528 4.334
-4.587 4.775 -0.582
-3.491 -0.080 5.656
K Li Ge Se
2 1 1 4
Direct
0.000 0.500 0.500
0.500 0.500 0.500
0.000 0.000 0.000
0.500 0.000 0.000
0.118 0.324 0.000
0.882 0.000 0.676
0.557 0.000 0.324
0.443 0.676 0.000

Record 6
BaLa2Y | the Alexandria database | PBE | relaxed; distance to the lowest polymorph of the same formula = 41.5 meV/atom; SG = No. 25
1.0
-1.838 1.825 2.781
-0.012 -4.459 2.919
6.893 2.073 3.195
Ba La Y
1 2 1
Direct
0.500 0.500 0.747
0.000 0.000 0.033
0.500 0.500 0.248
0.000 0.000 0.473

Record 7
Tl2CrCo | the Alexandria database | PBE | relaxed; distance to the lowest polymorph of the same formula = 171.8 meV/atom; SG = No. 123
1.0
4.375 0.000 0.000
0.000 4.377 0.000
0.000 0.000 3.859
Co Cr Tl
1 1 2
Direct
0.500 0.000 0.500
0.000 0.500 0.500
0.000 0.000 0.000
0.500 0.500 0.000

Record 8
Nd2H6PdRh | the Alexandria database | PBE | relaxed; calculated total energy = -4.767 eV/atom; SG = No. 69
1.0
5.353 -0.008 0.000
-0.008 5.353 0.000
-2.673 -2.673 3.728
Nd H Pd Rh
2 6 1 1
Direct
0.750 0.250 0.500
0.250 0.750 0.500
0.739 0.740 0.000
0.741 0.741 0.481
0.260 0.261 0.000
0.739 0.261 0.000
0.259 0.260 0.518
0.261 0.740 0.000
0.000 0.000 0.000
0.500 0.500 0.000

Record 9
B3PC | the Alexandria database | PBE | relaxed; distance to the lowest polymorph of the same formula = 179.0 meV/atom; SG = No. 8
1.0
6.450 0.000 0.006
0.000 2.878 0.000
-3.001 0.000 5.475
P C B
2 2 6
Direct
0.162 0.000 0.655
0.162 0.500 0.155
0.617 0.000 0.524
0.617 0.500 0.024
0.735 0.000 0.106
0.735 0.500 0.606
0.043 0.000 0.300
0.043 0.500 0.800
0.361 0.000 0.332
0.361 0.500 0.832

Record 10
DyErW2N6 | the Alexandria database | PBE | relaxed; uncorrected formation energy = -1011 meV/atom; SG = No. 15
1.0
6.300 0.066 0.069
2.093 7.075 0.424
2.093 0.161 7.085
Dy Er W N
2 2 4 12
Direct
0.250 0.909 0.091
0.750 0.091 0.909
0.250 0.285 0.715
0.750 0.715 0.285
0.281 0.798 0.621
0.219 0.379 0.202
0.719 0.202 0.379
0.781 0.621 0.798
0.157 0.999 0.780
0.343 0.220 0.001
0.843 0.001 0.220
0.657 0.780 0.999
0.341 0.884 0.374
0.159 0.626 0.116
0.659 0.116 0.626
0.841 0.374 0.884
0.084 0.628 0.662
0.416 0.338 0.372
0.916 0.372 0.338
0.584 0.662 0.628

Record 11
LaPm8Y5 | the Alexandria database | PBE | relaxed; calculated total energy = -5.140 eV/atom; SG = No. 82
1.0
8.232 0.000 -2.485
-4.271 6.810 -3.054
0.309 0.000 8.593
La Pm Y
1 8 5
Direct
0.250 0.500 0.750
0.162 0.733 0.073
0.927 0.089 0.660
0.720 0.255 0.324
0.676 0.396 0.931
0.535 0.604 0.280
0.571 0.911 0.838
0.340 0.267 0.429
0.069 0.745 0.465
0.042 0.319 0.133
0.867 0.908 0.185
0.815 0.681 0.723
0.500 0.000 0.500
0.277 0.092 0.958

Record 12
ZnAg2Te | the Alexandria database | PBE | relaxed; distance to the lowest polymorph of the same formula = 0.0 meV/atom; uncorrected formation energy = 27 meV/atom; SG = No. 12
1.0
-3.314 1.307 2.929
-4.595 0.129 0.377
-0.824 -5.549 2.975
Ag Te Zn
2 1 1
Direct
0.013 0.013 0.944
0.487 0.487 0.556
0.250 0.250 0.250
0.750 0.750 0.750

Record 13
Zr2Pd7Rh | the Alexandria database | PBE | relaxed; calculated total energy = -6.013 eV/atom; SG = No. 65
1.0
-3.585 -1.056 -0.681
1.259 0.855 -7.956
1.130 -6.691 4.423
Zr Pd Rh
2 7 1
Direct
0.500 0.689 0.311
0.500 0.311 0.689
0.000 0.811 0.189
0.000 0.189 0.811
0.500 0.092 0.289
0.500 0.908 0.711
0.500 0.289 0.092
0.500 0.711 0.908
0.500 0.500 0.500
0.000 0.000 0.000

| no. | total moment (μB per formula unit) |
| --- | --- |
| 1 | 0.00 |
| 2 | 0.00 |
| 3 | 0.59 |
| 4 | 0.00 |
| 5 | 0.94 |
| 6 | 0.00 |
| 7 | 4.54 |
| 8 | 0.00 |
| 9 | 0.00 |
| 10 | 0.00 |
| 11 | 0.00 |
| 12 | 0.00 |
| 13 | 0.00 |